No. 1
The following is a DFT calculation (GGA-PBE) of an optimized crystal structure of PmTiGa2.

a = 4.4603 Å, b = 4.4603 Å, c = 4.1504 Å
α = 90.00°, β = 90.00°, γ = 90.00°
Closest atoms and distances in Å follow each position.
Sites, in units of the cell vectors:
Pm (0.0000, 0.0000, 0.0000)  8 Ga 3.05, 4 Ti 3.15
Ti (0.5000, 0.5000, 0.0000)  8 Ga 3.05, 4 Pm 3.15
Ga (0.0000, 0.5000, 0.5000)  4 Pm 3.05, 4 Ti 3.05, 4 Ga 3.15
Ga (0.5000, 0.0000, 0.5000)  4 Pm 3.05, 4 Ti 3.05, 4 Ga 3.15

Calculated values
Symmetry: P4/mmm (123)
Energy relative to the elements in meV/atom: -295
Excess energy over the best structure of this formula in the dataset in meV/atom: 126.4

No. 2
The following is a DFT calculation (GGA-PBE) of an optimized crystal structure of Rb2CePu2S6.

a = 7.1132 Å, b = 7.1132 Å, c = 8.1501 Å
α = 98.32°, β = 98.32°, γ = 120.14°
Closest atoms and distances in Å follow each position.
Sites, in units of the cell vectors:
Rb (0.1668, 0.8332, 0.0000)  6 S 3.40-3.43
Rb (0.8332, 0.1668, 0.0000)  6 S 3.40-3.43
Ce (0.0000, 0.0000, 0.5000)  6 S 2.78-2.80
Pu (0.3341, 0.6659, 0.5000)  6 S 2.75-2.76
Pu (0.6659, 0.3341, 0.5000)  6 S 2.75-2.76
S (0.0582, 0.3982, 0.6834)  2 Pu 2.75-2.76, 1 Ce 2.80
S (0.2740, 0.2740, 0.3157)  2 Pu 2.76, 1 Ce 2.78
S (0.3982, 0.0582, 0.6834)  2 Pu 2.75-2.76, 1 Ce 2.80
S (0.6018, 0.9418, 0.3166)  2 Pu 2.75-2.76, 1 Ce 2.80
S (0.7260, 0.7260, 0.6843)  2 Pu 2.76, 1 Ce 2.78
S (0.9418, 0.6018, 0.3166)  2 Pu 2.75-2.76, 1 Ce 2.80

Calculated values
Symmetry: C2/m (12)
Formation energy (no corrections) in eV/atom: -1.652

No. 3
The following is a DFT calculation (GGA-PBE) of an optimized crystal structure of Dy2ZrIn9.

a = 4.5992 Å, b = 4.5992 Å, c = 13.7575 Å
α = 90.00°, β = 90.00°, γ = 90.00°
Closest atoms and distances in Å follow each position.
Sites, in units of the cell vectors:
Dy (0.0000, 0.0000, 0.1725)  12 In 3.25-3.30
Dy (0.0000, 0.0000, 0.8275)  12 In 3.25-3.30
Zr (0.0000, 0.0000, 0.5000)  12 In 3.19-3.25
In (0.0000, 0.5000, 0.0000)  8 In 3.25-3.26, 4 Dy 3.30
In (0.0000, 0.5000, 0.3393)  2 Zr 3.19, 8 In 3.19-3.29, 2 Dy 3.25
In (0.0000, 0.5000, 0.6607)  2 Zr 3.19, 8 In 3.19-3.29, 2 Dy 3.25
In (0.5000, 0.0000, 0.0000)  8 In 3.25-3.26, 4 Dy 3.30
In (0.5000, 0.0000, 0.3393)  2 Zr 3.19, 8 In 3.19-3.29, 2 Dy 3.25
In (0.5000, 0.0000, 0.6607)  2 Zr 3.19, 8 In 3.19-3.29, 2 Dy 3.25
In (0.5000, 0.5000, 0.1681)  4 Dy 3.25, 8 In 3.26-3.29
In (0.5000, 0.5000, 0.5000)  8 In 3.19, 4 Zr 3.25
In (0.5000, 0.5000, 0.8319)  4 Dy 3.25, 8 In 3.26-3.29

Calculated values
Symmetry: P4/mmm (123)
Energy relative to the elements in meV/atom: -339

Number 1: uncorrected energy -19.88 eV for the cell shown. Number 2: uncorrected energy -79.47 eV for the cell shown. Number 3: uncorrected energy -46.47 eV for the cell shown.